Run a
Li2MnF6 PBE+U optimized geometry; spin magnetization = 0.36 μB/atom; DOS at the Fermi energy = 0.0 states/eV per cell; space group = P-3m1, No. 164
1.0
5.7724 0.0000 0.0000
-2.8862 4.9990 0.0000
0.0000 0.0000 5.1195
F Li Mn
6 2 1
Cartesian
4.4666 0.7539 4.0592
1.3058 0.7539 4.0592
1.5804 4.2451 1.0603
0.0000 1.5078 1.0603
-1.5804 4.2451 1.0603
2.8862 3.4913 4.0592
0.0000 3.3327 1.1201
2.8862 1.6663 3.9995
0.0000 0.0000 0.0000

Run b
Li2MnF6 PBE+U optimized geometry; spin magnetization = 0.32 μB/atom; DOS at the Fermi energy = 0.0 states/eV per cell; space group = P321, No. 150
1.0
8.5522 0.0000 0.0000
-4.2761 7.4064 0.0000
0.0000 0.0000 4.6717
Li Mn F
6 3 18
Cartesian
5.4606 0.0000 0.0000
-1.2743 2.2072 2.3358
-2.7303 4.7290 0.0000
2.5486 0.0000 2.3358
3.0018 5.1992 2.3358
1.5458 2.6774 0.0000
4.2761 2.4688 2.2925
0.0000 0.0000 0.0000
0.0000 4.9376 2.3792
7.1986 0.7159 1.0298
5.6530 3.1254 1.2519
-1.3467 5.6551 1.3422
-2.9793 6.5921 3.6419
1.2947 5.7451 1.3422
0.0519 3.4126 1.3422
2.9225 6.6905 3.6419
4.1562 0.9481 1.2519
1.2968 0.8143 1.0298
4.3329 5.8762 1.0298
-1.2570 4.0734 3.4198
3.0190 3.3330 1.2519
2.9294 1.7513 3.3295
5.5708 1.6613 3.3295
1.3769 4.2810 3.4198
-0.1198 6.4583 3.4198
0.0568 1.5302 3.6419
4.3280 3.9938 3.3295

Run c
Li2MnF6 PBE+U optimized geometry; spin magnetization = 0.32 μB/atom; DOS at the Fermi energy = 0.0 states/eV per cell; space group = C2/c, No. 15
1.0
6.5544 0.0037 -0.0972
-4.5818 4.6870 -0.0972
0.2943 0.6998 8.4318
Li F Mn
4 12 2
Cartesian
-0.5932 3.3077 8.1386
-0.3648 3.8507 4.3147
2.8601 2.0828 0.0988
2.6317 1.5397 3.9227
-2.0631 2.6653 1.2360
2.1425 3.6046 1.1144
3.4950 0.7397 5.4519
1.0422 0.9881 2.9070
-1.2281 4.6508 2.7855
4.3300 2.7251 7.0014
0.1496 4.9340 7.6333
2.1173 0.4564 0.6041
3.2745 3.2081 3.4174
0.1244 1.7858 7.1230
-1.0076 2.1824 4.8200
1.2247 4.4023 5.3304
5.1385 1.2168 6.2267
-2.8716 4.1736 2.0107

Tell me which of them is the most stable. Sure, it is run b.

Run a
LiMn2F5 PBE+U optimized geometry; spin magnetization = 1.25 μB/atom; DOS at the Fermi energy = 0.0 states/eV per cell; space group = C2/c, No. 15
1.0
5.4725 -0.2319 2.2758
-0.7186 5.4300 2.2758
-0.1081 -0.1182 7.9991
Mn F Li
4 10 2
Cartesian
2.3229 2.5400 6.2754
2.7362 -0.1160 1.1379
2.3769 2.5990 2.2758
-0.4134 2.6559 5.1375
4.1043 1.5114 5.7520
1.5778 3.2756 4.2756
3.5601 0.9164 2.7991
3.7771 3.9959 6.7874
1.0564 1.0208 1.7638
1.0857 4.1635 9.7516
0.5415 3.5685 6.7987
3.0680 1.8043 8.2751
0.8686 1.0841 5.7633
3.5894 4.0591 10.7869
-0.0238 4.6318 8.2751
4.6695 0.4481 4.2756

Run b
LiMn2F5 PBE+U optimized geometry; spin magnetization = 1.25 μB/atom; DOS at the Fermi energy = 0.0 states/eV per cell; space group = P2_1/c, No. 14
1.0
6.9621 0.0000 0.0000
0.0000 6.2365 -0.2926
0.0000 0.5685 9.2459
F Mn Li
20 8 4
Cartesian
1.0631 3.3972 0.7114
6.3596 0.8560 0.8387
5.8704 0.7432 5.2584
4.0836 3.9743 0.6924
2.3894 2.9436 3.8412
1.0917 6.0619 3.6949
4.5442 6.5261 8.0956
6.2108 4.9342 1.9750
0.5965 4.1018 5.5056
0.7513 1.8709 6.9784
2.8846 0.9836 5.6519
6.3656 2.7032 3.4478
2.4179 0.2789 0.8577
4.5727 3.8615 5.1121
4.2323 1.8159 2.1213
2.7298 4.9891 6.8321
5.8989 3.4079 8.2419
2.8785 2.8308 8.2609
4.0775 5.8215 3.3015
0.6025 5.9490 8.1146
4.4516 6.0123 1.0868
0.9706 3.9111 7.7203
5.9915 2.8940 1.2331
0.8250 1.8283 4.8276
4.3060 1.8585 4.2720
6.1371 4.9767 4.1257
2.6561 4.9466 4.6813
2.5105 0.7928 7.8666
0.7371 5.6320 0.8539
2.7439 2.5137 1.0001
4.2181 4.2913 7.9532
6.2250 1.1731 8.0995

Run c
LiMn2F5 PBE+U optimized geometry; spin magnetization = 1.25 μB/atom; DOS at the Fermi energy = 0.0 states/eV per cell; space group = Cmcm, No. 63
1.0
-4.9705 2.2036 -1.5497
2.8423 -0.8608 4.8108
4.4662 9.4016 -0.9565
F Mn Li
10 4 2
Cartesian
2.3630 4.1443 2.4371
4.3563 6.9104 2.5989
-0.6113 10.3504 -2.0593
4.1438 2.9087 4.1080
1.5997 10.0203 -0.4805
-1.8058 7.8358 -1.8035
2.9493 0.3941 4.3639
-2.0183 3.8340 -0.2944
-0.0250 6.6002 -0.1325
0.7383 0.7241 2.7851
-1.9566 5.8281 -1.0752
-3.5730 2.4255 -0.7290
4.2946 4.9164 3.3798
5.9110 8.3189 3.0336
-0.2284 8.7086 -1.1334
2.5664 2.0358 3.4380

Run d
LiMn2F5 PBE+U optimized geometry; spin magnetization = 1.12 μB/atom; DOS at the Fermi energy = 0.0 states/eV per cell; space group = P-1, No. 2
1.0
-0.8747 6.1592 -1.8759
0.6988 -3.5687 -7.0739
-8.5540 -0.6964 2.2860
F Li Mn
20 4 8
Cartesian
-8.4291 2.2977 -5.1170
-5.6716 1.1313 -3.8492
-3.0583 0.7627 -2.8146
-5.2966 -1.6377 -3.0321
-5.2215 2.2094 -1.2688
-7.9669 3.3522 -2.2897
-2.2041 1.4348 -0.0070
-8.0818 -0.6556 -4.0603
-0.7629 -1.4582 -4.3741
-6.5258 0.4592 -6.6568
-1.7252 1.9490 -5.2974
-0.6481 2.5496 -2.6035
-4.7079 -0.9318 -0.2125
-7.0047 -0.0550 -1.3664
-4.0219 2.8258 -6.4513
-0.3007 -0.4037 -1.5469
-3.5083 -0.3154 -5.3951
-3.4333 3.5317 -3.6318
-5.8350 -2.4544 -5.8447
-2.8949 4.3484 -0.8191
-7.2152 0.8149 -4.8881
-4.3402 3.7751 -1.9440
-4.3896 -1.8811 -4.7198
-1.5147 1.0791 -1.7758
-3.8634 1.6772 -4.6666
-2.0482 2.7689 -7.3454
-1.5779 -0.2286 -6.1452
-7.2472 -1.9279 -2.5694
-7.1520 2.1226 -0.5186
-6.6817 -0.8749 0.6815
-4.8665 0.2168 -1.9973
-1.4827 3.8219 -4.0945

Tell me which of them is the most stable. Sure, it is run c.

Run a
LiMn2F5 PBE+U optimized geometry; spin magnetization = 1.25 μB/atom; DOS at the Fermi energy = 0.0 states/eV per cell; space group = C2/c, No. 15
1.0
-6.2027 2.7457 1.3152
-5.5570 -1.7424 3.7184
1.6959 2.6339 4.4634
F Li Mn
10 2 4
Cartesian
-6.9554 1.3104 3.1863
-4.8969 4.4856 4.7889
-2.1480 0.9954 1.7626
-5.1669 -0.8484 4.7081
-3.1084 2.3268 6.3106
-4.0895 1.9353 3.5834
-7.9158 2.6418 7.7343
-1.2206 1.7607 4.2898
-5.9743 1.7019 5.9136
-8.8431 1.8766 5.2072
-2.2534 2.6898 2.8893
-2.7785 -0.8712 1.8592
-5.2978 1.8633 7.9234
-4.7660 1.7740 1.5736
-6.5016 3.0200 4.3671
-3.5621 0.6172 5.1299

Run b
LiMn2F5 PBE+U optimized geometry; spin magnetization = 1.25 μB/atom; DOS at the Fermi energy = 0.0 states/eV per cell; space group = Pnnm, No. 58
1.0
-6.0548 0.9892 2.2053
1.4947 -5.4690 6.5567
2.9121 6.7509 4.9672
Mn F Li
8 20 4
Cartesian
2.3667 -2.1883 7.4794
0.4694 2.8747 9.6355
-2.1174 -0.6036 4.0937
-2.3511 1.3850 7.4208
2.0401 3.4702 4.0445
-4.5277 0.7397 1.6491
0.7031 0.8861 6.3084
-1.5271 0.2495 0.5562
1.2947 2.1094 2.6084
-2.2705 3.3909 6.5940
-0.4063 5.8978 5.8753
0.1722 4.3370 8.1638
2.2450 1.8790 10.0332
-0.8489 2.3845 11.1601
0.6904 2.9072 5.5155
3.1121 -0.8275 8.9155
1.7683 -4.0837 6.6866
-1.3489 0.6697 5.6324
-1.8202 -2.0659 5.5655
2.7197 1.1646 6.9444
-2.3384 -0.6361 8.2137
-3.8930 0.3921 3.6961
-0.7991 -0.1134 2.5692
-0.2991 1.6014 8.0969
1.6871 0.1172 4.5795
-1.2417 -3.6267 7.8539
2.6385 5.3656 4.8373
0.6225 -1.1198 7.1353
-1.1511 -1.8185 7.2914
1.0618 0.2659 2.7959
3.3450 1.0160 8.7280
-0.4968 4.0895 6.4378

Tell me which of them is the most stable. Sure, it is run b.